## Li3Cu6Ni (PBE)

Data for a relaxed structure of Li3Cu6Ni.

Computed properties:
- ΔE to the lowest computed polymorph (eV/atom) = 0.000
- N(E_F) (states/eV/cell) = 7.2
- formation enthalpy at 0 K (eV/atom) = -0.032

abc: 5.676 6.300 7.828
angles: 107.51 97.33 109.96
Space group P-1 (No. 2)
Asymmetric unit:
Li  0.125  0.295  0.273 (multiplicity 2)
Li  0.134  0.503  0.881 (multiplicity 2)
Li  0.143  0.719  0.480 (multiplicity 2)
Cu  0.120  0.103  0.672 (multiplicity 2)
Cu  0.129  0.907  0.082 (multiplicity 2)
Cu  0.366  0.297  0.021 (multiplicity 2)
Cu  0.383  0.901  0.827 (multiplicity 2)
Cu  0.387  0.503  0.629 (multiplicity 2)
Cu  0.393  0.717  0.232 (multiplicity 2)
Ni  0.373  0.105  0.426 (multiplicity 2)